{"formula": "TcMoIO2", "functional": "PBE with a Hubbard U", "state": "relaxed", "dos_ef_per_ev_fu": 3.51, "space_group": "P4/mmm (123)", "total_energy_ev_per_atom": -5.8104, "total_magnetization_mub_per_atom": 1.092, "relative_energy_mev_per_atom": 119, "cell": [[3.921, 0.000, 0.000], [0.000, 3.921, 0.000], [0.000, 0.000, 7.670]], "species": ["O", "O", "I", "Tc", "Mo"], "frac_coords": [[0.500, 0.000, 0.000], [0.000, 0.500, 0.000], [0.000, 0.000, 0.500], [0.500, 0.500, 0.500], [0.000, 0.000, 0.000]]}